1.
# GGA-PBE Nb3PtRh2, relaxed
# - Spin magnetization: 0.00 μB per atom
# - Energy: -8.99 eV per atom
data_Nb3PtRh2
_chemical_formula_sum 'Nb3 Pt1 Rh2'
_symmetry_space_group_name_H-M 'P 4/m m m'
_symmetry_Int_Tables_number 123
_symmetry_space_group_name_Hall '-P 4 2'
_cell_length_a 2.859
_cell_length_b 2.859
_cell_length_c 11.883
_cell_angle_alpha 90.00
_cell_angle_beta 90.00
_cell_angle_gamma 90.00
loop_
_atom_site_label
_atom_site_fract_x
_atom_site_fract_y
_atom_site_fract_z
_atom_site_occupancy
Nb1 0.000 0.000 0.000 1
Nb2 0.000 0.000 0.327 1
Pt1 0.500 0.500 0.500 1
Rh1 0.500 0.500 0.165 1

***

2.
# GGA-PBE NbPt6Rh3, relaxed
# - Spin magnetization: 0.00 μB per atom
# - Energy: -7.06 eV per atom
data_NbPt6Rh3
_chemical_formula_sum 'Nb2 Pt12 Rh6'
_symmetry_space_group_name_H-M 'P 1 21/m 1'
_symmetry_Int_Tables_number 11
_cell_length_a 8.820
_cell_length_b 3.949
_cell_length_c 8.874
_cell_angle_alpha 90.00
_cell_angle_beta 90.37
_cell_angle_gamma 90.00
loop_
_symmetry_equiv_pos_as_xyz
'x,y,z'
'-x,-y,-z'
'-x,y+1/2,-z'
'x,-y+1/2,z'
loop_
_atom_site_label
_atom_site_fract_x
_atom_site_fract_y
_atom_site_fract_z
_atom_site_occupancy
Nb1 0.059 0.250 0.384 1
Pt1 0.053 0.750 0.901 1
Pt2 0.143 0.250 0.695 1
Pt3 0.155 0.750 0.203 1
Pt4 0.244 0.750 0.506 1
Pt5 0.354 0.250 0.307 1
Pt6 0.450 0.750 0.099 1
Rh1 0.255 0.250 0.995 1
Rh2 0.352 0.750 0.803 1
Rh3 0.451 0.250 0.606 1

***

3.
# GGA-PBE NbPt2Rh, relaxed
# - Spin magnetization: 0.00 μB per atom
# - Energy: -7.98 eV per atom
data_NbPt2Rh
_chemical_formula_sum 'Nb2 Pt4 Rh2'
_symmetry_space_group_name_H-M 'I 4/m m m'
_symmetry_Int_Tables_number 139
_symmetry_space_group_name_Hall '-I 4 2'
_cell_length_a 3.925
_cell_length_b 3.925
_cell_length_c 8.112
_cell_angle_alpha 90.00
_cell_angle_beta 90.00
_cell_angle_gamma 90.00
loop_
_atom_site_label
_atom_site_fract_x
_atom_site_fract_y
_atom_site_fract_z
_atom_site_occupancy
Nb1 0.000 0.000 0.000 1
Pt1 0.000 0.500 0.250 1
Rh1 0.000 0.000 0.500 1

***

4.
# GGA-PBE Nb2PtRh6, relaxed
# - Spin magnetization: 0.00 μB per atom
# - Energy: -8.21 eV per atom
data_Nb2PtRh6
_chemical_formula_sum 'Nb4 Pt2 Rh12'
_symmetry_space_group_name_H-M 'C 1 2/m 1'
_symmetry_Int_Tables_number 12
_cell_length_a 11.718
_cell_length_b 3.901
_cell_length_c 6.258
_cell_angle_alpha 90.00
_cell_angle_beta 108.02
_cell_angle_gamma 90.00
loop_
_symmetry_equiv_pos_as_xyz
'x,y,z'
'-x,-y,-z'
'-x,y,-z'
'x,-y,z'
'x+1/2,y+1/2,z'
'-x+1/2,-y+1/2,-z'
'-x+1/2,y+1/2,-z'
'x+1/2,-y+1/2,z'
loop_
_atom_site_label
_atom_site_fract_x
_atom_site_fract_y
_atom_site_fract_z
_atom_site_occupancy
Nb1 0.063 0.000 0.329 1
Pt1 0.000 0.500 0.000 1
Rh1 0.109 0.500 0.666 1
Rh2 0.170 0.000 0.008 1
Rh3 0.220 0.500 0.336 1